Cs2LiRuBr6 | PBE-GGA | relaxed

Unit cell a=7.627 b=7.627 c=7.627 alpha=120.07 beta=120.07 gamma=89.87
Sites, in units of the cell vectors:
Cs  0.250  0.750  0.500
Cs  0.750  0.250  0.500
Li  0.000  0.000  0.000
Ru  0.500  0.500  0.000
Br  0.263  0.263  0.526
Br  0.263  0.737  0.000
Br  0.264  0.264  0.000
Br  0.736  0.736  0.000
Br  0.737  0.263  0.000
Br  0.737  0.737  0.474

energy above the most stable polymorph in this dataset = 0.033 eV per atom
raw formation energy = -25.2 kcal/mol of atoms
symmetry = I4/mmm (139)

---

Cs2LiSBr6 | PBE-GGA | relaxed

Unit cell a=7.760 b=7.760 c=7.760 alpha=120.39 beta=120.39 gamma=89.32
Sites, in units of the cell vectors:
Cs  0.250  0.750  0.500
Cs  0.750  0.250  0.500
Li  0.000  0.000  0.000
S  0.500  0.500  0.000
Br  0.246  0.246  0.492
Br  0.246  0.754  0.000
Br  0.275  0.275  0.000
Br  0.725  0.725  0.000
Br  0.754  0.246  0.000
Br  0.754  0.754  0.508

raw formation energy = -20.9 kcal/mol of atoms
symmetry = I4/mmm (139)